# TlPbAu2 SCAN PBEsol geometry
# Spin magnetization: 0.00 μB per atom
# Excess energy over the best structure of this formula in the dataset: 57 meV per atom
# Total DFT energy (no corrections): -2.6320 Ha/atom
# DOS(E_F): 0.328 states/eV/atom
# ΔE_f: -0.007 eV/atom
data_TlPbAu2
_symmetry_space_group_name_H-M 'P m m 2'
_symmetry_Int_Tables_number 25
_cell_length_a 3.3109
_cell_length_b 3.4234
_cell_length_c 8.0516
_cell_angle_alpha 90.00
_cell_angle_beta 90.00
_cell_angle_gamma 90.00
loop_
_symmetry_equiv_pos_as_xyz
'x,y,z'
'-x,-y,z'
'-x,y,z'
'x,-y,z'
loop_
_atom_site_label
_atom_site_type_symbol
_atom_site_fract_x
_atom_site_fract_y
_atom_site_fract_z
Tl1 Tl 0.0000 0.0000 0.0000
Pb1 Pb 0.5000 0.5000 0.6529
Au1 Au 0.0000 0.0000 0.4255
Au2 Au 0.5000 0.5000 0.2338